Ho2TeO2: relaxed, GGA-PBEsol.

Cell: 3.8621 3.8621 6.6998 Å, 106.75 106.75 90.00°
Closest atoms and distances in Å follow each position.
Sites, in units of the cell vectors:
Te (0.0000, 0.0000, 0.0000)  8 Ho 3.38, 8 O 3.62
Ho (0.3378, 0.3378, 0.6757)  4 O 2.21
Ho (0.6622, 0.6622, 0.3243)  4 O 2.21
O (0.2500, 0.7500, 0.5000)  4 Ho 2.21
O (0.7500, 0.2500, 0.5000)  4 Ho 2.21

Properties
**Uncorrected formation energy**: -3.04 eV per atom

SrLi2Si: relaxed, GGA-PBEsol.

Cell: 3.4814 3.4814 7.6134 Å, 90.00 90.00 90.00°
Closest atoms and distances in Å follow each position.
Sites, in units of the cell vectors:
Sr (0.5000, 0.5000, 0.7070)  4 Si 3.22, 1 Li 3.26, 4 Sr 3.48
Si (0.0000, 0.0000, 0.4348)  5 Li 2.71-2.73
Li (0.0000, 0.0000, 0.0787)  1 Si 2.71, 4 Li 2.90
Li (0.5000, 0.5000, 0.2795)  4 Si 2.73, 4 Li 2.90

Properties
**Uncorrected formation energy**: -0.08 eV per atom

> uncorrected formation energy of number 1 (Ho2TeO2)?

-3.04 eV per atom

> Among the records above, which one has the highest uncorrected formation energy?

SrLi2Si

> Among the records above, which one has the lowest uncorrected formation energy?

Ho2TeO2